{"formula": "LaTmAgPd", "functional": "GGA-PBE", "state": "optimized geometry", "lattice_angstrom": [[5.1565, 0.0000, 0.0000], [2.5783, 4.4657, 0.0000], [2.5783, 1.4886, 4.2103]], "species": ["Tm", "Pd", "Ag", "La"], "frac_coords": [[0.0000, 0.0000, 0.0000], [0.2500, 0.2500, 0.2500], [0.7500, 0.7500, 0.7500], [0.5000, 0.5000, 0.5000]], "delta_e_f_mev_per_atom": -541, "sg": "F-43m, No. 216", "m_tot_mub_per_fu": 0.0}